# GaHSCl2, relaxed, DFT PBE-GGA
data_GaHSCl2
_space_group_name_H-M_alt 'P 4/m m m'
_space_group_IT_number 123
_space_group_name_Hall '-P 4 2'
_cell_length_a 5.322
_cell_length_b 5.322
_cell_length_c 3.297
_cell_angle_alpha 90.00
_cell_angle_beta 90.00
_cell_angle_gamma 90.00
loop_
_atom_site_label
_atom_site_fract_x
_atom_site_fract_y
_atom_site_fract_z
Ga1 0.000 0.000 0.000
H1 0.500 0.500 0.500
S1 0.500 0.500 0.000
Cl1 0.000 0.500 0.500
# Relative energy among the computed polymorphs ... 0.0000 eV per atom
# Total moment ... 1.4 μB/f.u.